DFT (PBE) results for a relaxed structure of Rb2LaPbO4.

Output
The crystal system is orthorhombic. As for the space-group type: Imma. The calculation puts the density of states at the Fermi level at 3.64 states/eV per cell. Its total magnetic moment is 0.000 μB per atom. The value obtained for the mass density is 6.26 g/cm3. For the formation energy without anion corrections, the calculation gives -1.81 eV/atom.

Lattice parameters (Å, degrees): 7.594 7.594 7.594 120.50 120.05 89.52
Fractional coordinates of all 16 atoms:
Rb  0.000  0.000  0.000
Rb  0.500  0.000  0.000
Rb  0.500  0.000  0.500
Rb  0.500  0.500  0.500
La  0.000  0.000  0.500
La  0.000  0.500  0.000
Pb  0.000  0.500  0.500
Pb  0.500  0.500  0.000
O  0.190  0.735  0.455
O  0.220  0.265  0.955
O  0.234  0.279  0.545
O  0.234  0.689  0.955
O  0.766  0.311  0.045
O  0.766  0.721  0.455
O  0.780  0.735  0.045
O  0.810  0.265  0.545